A relaxed HoSc2Tl crystal, computed with PBE.

Lattice parameters (Å, degrees): 4.6351 4.6351 4.6332 90.00 90.00 90.00
Closest atoms and distances in Å follow each position.
Space group P4/mmm (No. 123)
Symmetry-distinct sites (fractional):
Ho1 0.0000 0.0000 0.0000  8 Sc 3.28, 4 Tl 3.28
Sc1 0.0000 0.5000 0.5000  4 Tl 3.28, 4 Ho 3.28, 4 Sc 3.28
Tl1 0.5000 0.5000 0.0000  8 Sc 3.28, 4 Ho 3.28

Properties
Its magnetic moment is 1.4 Bohr magnetons per cell. For the formation enthalpy at 0 K, the calculation gives -179 meV/atom. The calculation puts the energy relative to the lowest polymorph listed for this composition at 0.0 meV/atom.



A relaxed PaTaNi2P2 crystal, computed with PBE.

Lattice parameters (Å, degrees): 3.7808 3.7808 7.3489 90.00 90.00 120.00
Closest atoms and distances in Å follow each position.
Space group P-3m1 (No. 164)
Symmetry-distinct sites (fractional):
Pa1 0.0000 0.0000 0.0000  6 P 2.94, 6 Ni 2.97
Ta1 0.0000 0.0000 0.5000  6 Ni 2.74, 6 P 2.77
Ni1 0.3333 0.6667 0.7264  3 P 2.18
P1 0.3333 0.6667 0.2686  3 Ni 2.18

Properties
Its magnetic moment is 0.0 Bohr magnetons per cell. For the formation enthalpy at 0 K, the calculation gives -846 meV/atom.



A relaxed TbSmY2Sc2 crystal, computed with PBE.

Lattice parameters (Å, degrees): 6.3044 17.4316 3.3541 90.00 90.00 90.00
Closest atoms and distances in Å follow each position.
Space group Pnnm (No. 58)
Symmetry-distinct sites (fractional):
Tb1 0.0000 0.0000 0.0000  2 Sc 3.08, 2 Tb 3.35
Sm1 0.0000 0.5000 0.0000  4 Sc 3.35, 2 Sm 3.35, 4 Tb 3.57
Y1 0.2239 0.1910 0.0000  4 Sc 3.25-3.31, 2 Y 3.35, 1 Tb 3.62
Sc1 0.2231 0.3545 0.5000  1 Tb 3.08, 4 Y 3.25-3.31, 2 Sm 3.35, 2 Sc 3.35

Properties
Its magnetic moment is 0.0 Bohr magnetons per cell. For the formation enthalpy at 0 K, the calculation gives 271 meV/atom.



A relaxed Ag12S6I crystal, computed with PBE.

Lattice parameters (Å, degrees): 11.5516 11.5516 10.5752 90.00 90.00 120.00
Closest atoms and distances in Å follow each position.
Space group R-3m (No. 166, hexagonal axes)
Symmetry-distinct sites (fractional):
Ag1 0.0000 0.3288 0.0000  4 S 2.62-2.71
Ag2 0.0849 0.1698 0.8224  2 S 2.48
S1 0.0499 0.5249 0.8318  6 Ag 2.48-2.71
I1 0.0000 0.0000 0.5000  18 Ag 3.81-4.26, 6 S 3.83

Properties
Its magnetic moment is 0.0 Bohr magnetons per cell. For the raw formation energy, the calculation gives 21 meV/atom.



A relaxed HoThCuMo crystal, computed with PBE.

Lattice parameters (Å, degrees): 7.0491 7.0491 7.0491 90.00 90.00 90.00
Closest atoms and distances in Å follow each position.
Space group F-43m (No. 216)
Symmetry-distinct sites (fractional):
Ho1 0.0000 0.0000 0.0000  4 Mo 3.05, 4 Cu 3.05
Th1 0.0000 0.0000 0.5000  4 Cu 3.05, 4 Mo 3.05
Cu1 0.2500 0.2500 0.7500  4 Th 3.05, 4 Ho 3.05
Mo1 0.2500 0.2500 0.2500  4 Th 3.05, 4 Ho 3.05

Properties
Its magnetic moment is 0.0 Bohr magnetons per cell. For the formation enthalpy at 0 K, the calculation gives 85 meV/atom.



A relaxed La2Pr3YSe6 crystal, computed with PBE.

Lattice parameters (Å, degrees): 7.3576 12.7841 7.3605 90.00 109.59 90.00
Closest atoms and distances in Å follow each position.
Space group C2/m (No. 12)
Symmetry-distinct sites (fractional):
La1 0.0000 0.1659 0.0000  6 Se 3.02-3.03
Pr1 0.0000 0.0000 0.5000  6 Se 3.00-3.07
Pr2 0.0000 0.3287 0.5000  6 Se 3.00-3.05
Y1 0.0000 0.5000 0.0000  6 Se 2.92-2.94
Se1 0.2396 0.5000 0.7508  1 Y 2.94, 3 Pr 3.02-3.07, 2 La 3.03
Se2 0.2425 0.3382 0.2437  1 Y 2.92, 3 Pr 3.00-3.05, 2 La 3.02

Properties
Its magnetic moment is 0.0 Bohr magnetons per cell. For the raw formation energy, the calculation gives -1886 meV/atom.



A relaxed SmTcO4 crystal, computed with PBE.

Lattice parameters (Å, degrees): 7.0222 11.3054 5.0710 90.00 129.54 90.00
Closest atoms and distances in Å follow each position.
Space group C2/c (No. 15)
Symmetry-distinct sites (fractional):
Sm1 0.0000 0.1344 0.2500  8 O 2.36-2.53
Tc1 0.0000 0.4052 0.7500  4 O 1.87-1.92
O1 0.1447 0.2934 0.6530  1 Tc 1.87
O2 0.2371 0.4692 0.2013  1 Tc 1.92

Properties
Its magnetic moment is 8.0 Bohr magnetons per cell. The calculation puts the energy relative to the lowest polymorph listed for this composition at 13.9 meV/atom. For the raw formation energy, the calculation gives -2245 meV/atom.



A relaxed Li3Be2 crystal, computed with PBE.

Lattice parameters (Å, degrees): 2.4918 2.4918 33.7701 90.00 90.00 120.00
Closest atoms and distances in Å follow each position.
Space group R-3m (No. 166, hexagonal axes)
Symmetry-distinct sites (fractional):
Li1 0.0000 0.0000 0.0000  6 Li 2.49, 6 Be 2.62
Li2 0.0000 0.0000 0.2039  6 Li 2.49, 3 Be 2.62
Be1 0.0000 0.0000 0.3980  6 Be 2.49, 6 Li 2.62

Properties
Its magnetic moment is 0.0 Bohr magnetons per cell. For the formation enthalpy at 0 K, the calculation gives 275 meV/atom.



A relaxed ErNb2H crystal, computed with PBE.

Lattice parameters (Å, degrees): 3.0006 3.0006 25.8463 90.00 90.00 120.00
Closest atoms and distances in Å follow each position.
Space group R-3m (No. 166, hexagonal axes)
Symmetry-distinct sites (fractional):
Er1 0.0000 0.0000 0.0000  2 Nb 3.00, 6 Er 3.00
Nb1 0.0000 0.0000 0.1161  3 H 2.17
H1 0.0000 0.0000 0.5000  6 Nb 2.17

Properties
For the total energy, the calculation gives -6.68 eV/atom. Its magnetic moment is 0.0 Bohr magnetons per cell.



A relaxed SmTm3Sc2 crystal, computed with PBE.

Lattice parameters (Å, degrees): 14.1999 9.6569 5.4228 90.00 90.00 90.00
Closest atoms and distances in Å follow each position.
Space group Cmcm (No. 63)
Symmetry-distinct sites (fractional):
Sm1 0.0000 0.2272 0.2500  3 Tm 3.21-3.55, 6 Sc 3.37-3.45
Tm1 0.0000 0.4057 0.7500  3 Sm 3.21-3.55, 4 Tm 3.27-3.42, 2 Sc 3.38
Tm2 0.2398 0.3700 0.7500  2 Sc 3.06-3.26, 1 Tm 3.42
Sc1 0.1076 0.0934 0.7500  3 Sc 3.06-3.26, 3 Tm 3.06-3.38, 2 Sm 3.37

Properties
Its magnetic moment is 0.0 Bohr magnetons per cell. For the formation enthalpy at 0 K, the calculation gives 307 meV/atom. The calculation puts the energy relative to the lowest polymorph listed for this composition at 175.6 meV/atom.